RbTm2CuSe4 | GGA-PBE | relaxed

## Properties
Crystal system: orthorhombic
Total moment: 0.0 μB/cell
V: 26.047 Å³ per atom

Cell: 7.387 7.387 14.336 Å, 90.00 90.00 147.81°
Atoms (fractional coordinates):
Rb 0.111 0.889 0.750
Rb 0.889 0.111 0.250
Tm 0.366 0.634 0.564
Tm 0.366 0.634 0.936
Tm 0.634 0.366 0.064
Tm 0.634 0.366 0.436
Cu 0.164 0.836 0.250
Cu 0.836 0.164 0.750
Se 0.000 0.000 0.000
Se 0.000 0.000 0.500
Se 0.261 0.739 0.107
Se 0.261 0.739 0.393
Se 0.430 0.570 0.750
Se 0.570 0.430 0.250
Se 0.739 0.261 0.607
Se 0.739 0.261 0.893

RbTm2Cu3Se5 | GGA-PBE | relaxed

## Properties
Crystal system: orthorhombic
Total moment: 0.0 μB/cell
V: 22.796 Å³ per atom

Cell: 7.531 7.531 16.919 Å, 90.00 90.00 148.49°
Atoms (fractional coordinates):
Rb 0.061 0.939 0.750
Rb 0.939 0.061 0.250
Tm 0.191 0.809 0.092
Tm 0.191 0.809 0.408
Tm 0.809 0.191 0.592
Tm 0.809 0.191 0.908
Cu 0.344 0.656 0.750
Cu 0.415 0.585 0.030
Cu 0.415 0.585 0.470
Cu 0.585 0.415 0.530
Cu 0.585 0.415 0.970
Cu 0.656 0.344 0.250
Se 0.168 0.832 0.572
Se 0.168 0.832 0.928
Se 0.246 0.754 0.250
Se 0.440 0.560 0.617
Se 0.440 0.560 0.883
Se 0.560 0.440 0.117
Se 0.560 0.440 0.383
Se 0.754 0.246 0.750
Se 0.832 0.168 0.072
Se 0.832 0.168 0.428

RbTmCuSe3 | GGA-PBE | relaxed

## Properties
Crystal system: monoclinic
Total moment: 0.0 μB/cell
V: 28.950 Å³ per atom

Cell: 9.373 4.047 9.845 Å, 90.00 111.52 90.00°
Atoms (fractional coordinates):
Rb 0.212 0.250 0.244
Rb 0.788 0.750 0.756
Tm 0.327 0.750 0.857
Tm 0.673 0.250 0.143
Cu 0.083 0.250 0.605
Cu 0.917 0.750 0.395
Se 0.119 0.250 0.862
Se 0.193 0.750 0.541
Se 0.470 0.750 0.164
Se 0.530 0.250 0.836
Se 0.807 0.250 0.459
Se 0.881 0.750 0.138

RbZrCu3Se4 | GGA-PBE | relaxed

## Properties
Crystal system: cubic
Total moment: 0.0 μB/cell
V: 27.993 Å³ per atom

Cell: 6.316 6.316 6.316 Å, 90.00 90.00 90.00°
Atoms (fractional coordinates):
Rb 0.000 0.000 0.000
Zr 0.500 0.500 0.500
Cu 0.000 0.500 0.500
Cu 0.500 0.000 0.500
Cu 0.500 0.500 0.000
Se 0.273 0.273 0.273
Se 0.273 0.727 0.727
Se 0.727 0.273 0.727
Se 0.727 0.727 0.273

Rb2ZrCu2Se4 | GGA-PBE | relaxed

## Properties
Crystal system: orthorhombic
Total moment: 0.0 μB/cell
V: 27.533 Å³ per atom

Cell: 7.584 7.584 5.964 Å, 90.00 90.00 133.74°
Atoms (fractional coordinates):
Rb 0.000 0.500 0.242
Rb 0.500 0.000 0.758
Zr 0.000 0.000 0.500
Cu 0.000 0.000 0.000
Cu 0.500 0.500 0.500
Se 0.152 0.352 0.751
Se 0.352 0.152 0.249
Se 0.648 0.848 0.249
Se 0.848 0.648 0.751

Rb2Sm4Cu4Te9 | GGA-PBE | relaxed

## Properties
Crystal system: monoclinic
Total moment: 0.0 μB/cell
V: 30.731 Å³ per atom

Cell: 8.080 8.080 17.903 Å, 107.96 107.96 31.83°
Atoms (fractional coordinates):
Rb 0.031 0.031 0.271
Rb 0.969 0.969 0.729
Sm 0.229 0.229 0.099
Sm 0.344 0.344 0.444
Sm 0.656 0.656 0.556
Sm 0.771 0.771 0.901
Cu 0.245 0.245 0.733
Cu 0.423 0.423 0.025
Cu 0.577 0.577 0.975
Cu 0.755 0.755 0.267
Te 0.000 0.000 0.500
Te 0.131 0.131 0.920
Te 0.303 0.303 0.606
Te 0.349 0.349 0.274
Te 0.398 0.398 0.872
Te 0.602 0.602 0.128
Te 0.651 0.651 0.726
Te 0.697 0.697 0.394
Te 0.869 0.869 0.080

Ordered final energy results: -4.928 -4.617 -4.449 -4.454 -4.526 -4.349; unit eV per atom.